[1]
This record from Alexandria via LeMat-Bulk describes Cr2PRh after structural relaxation. The functional is GGA-PBE.

CIF file:
```
data_Cr2PRh
_cell_length_a 3.520
_cell_length_b 3.520
_cell_length_c 7.844
_cell_angle_alpha 90.00
_cell_angle_beta 90.00
_cell_angle_gamma 90.00
_symmetry_space_group_name_H-M 'I 4/m m m'
_symmetry_Int_Tables_number 139
_symmetry_space_group_name_Hall '-I 4 2'
loop_
_atom_site_label
_atom_site_type_symbol
_atom_site_fract_x
_atom_site_fract_y
_atom_site_fract_z
Cr1 Cr 0.000 0.500 0.250
P1 P 0.000 0.000 0.000
Rh1 Rh 0.000 0.000 0.500
```

Output
The calculation puts the magnetization at 0.17 μB per atom. The calculated volume is 97 Å³/cell. For the formation energy from the elements, the calculation gives -0.128 eV/atom.

[2]
This record from Alexandria via LeMat-Bulk describes Tb3SbH3 after structural relaxation. The functional is GGA-PBE.

CIF file:
```
data_Tb3SbH3
_cell_length_a 6.238
_cell_length_b 6.238
_cell_length_c 6.238
_cell_angle_alpha 90.00
_cell_angle_beta 90.00
_cell_angle_gamma 90.00
_symmetry_space_group_name_H-M 'P m -3 n'
_symmetry_Int_Tables_number 223
_symmetry_space_group_name_Hall '-P 4n 2 3'
loop_
_atom_site_label
_atom_site_type_symbol
_atom_site_fract_x
_atom_site_fract_y
_atom_site_fract_z
Tb1 Tb 0.000 0.250 0.500
Sb1 Sb 0.000 0.000 0.000
H1 H 0.000 0.500 0.250
```

Output
The calculation puts the magnetization at 0.00 μB per atom. As for the energy: -4.65 eV per atom. The calculated volume is 243 Å³/cell.

[3]
This record from Alexandria via LeMat-Bulk describes SrCrBr2 after structural relaxation. The functional is GGA-PBE.

CIF file:
```
data_SrCrBr2
_cell_length_a 4.4374
_cell_length_b 4.4374
_cell_length_c 28.1553
_cell_angle_alpha 90.00
_cell_angle_beta 90.00
_cell_angle_gamma 120.00
_symmetry_space_group_name_H-M 'R -3 m'
_symmetry_Int_Tables_number 166
_symmetry_space_group_name_Hall '-R 3 2"'
loop_
_atom_site_label
_atom_site_type_symbol
_atom_site_fract_x
_atom_site_fract_y
_atom_site_fract_z
Sr1 Sr 0.0000 0.0000 0.0000
Cr1 Cr 0.0000 0.0000 0.5000
Br1 Br 0.0000 0.0000 0.2740
```

Output
The calculation puts the magnetization at 1.41 μB per atom. The calculated volume is 480 Å³/cell. The value obtained for the energy above the most stable polymorph in this dataset is 0.0651 eV per atom.

[4]
This record from Alexandria via LeMat-Bulk describes Tm2Zn15Tc2 after structural relaxation. The functional is GGA-PBE.

CIF file:
```
data_Tm2Zn15Tc2
_cell_length_a 8.9691
_cell_length_b 8.9691
_cell_length_c 12.9545
_cell_angle_alpha 90.00
_cell_angle_beta 90.00
_cell_angle_gamma 120.00
_symmetry_space_group_name_H-M 'R -3 m'
_symmetry_Int_Tables_number 166
_symmetry_space_group_name_Hall '-R 3 2"'
loop_
_atom_site_label
_atom_site_type_symbol
_atom_site_fract_x
_atom_site_fract_y
_atom_site_fract_z
Tm1 Tm 0.0000 0.0000 0.1622
Zn1 Zn 0.0000 0.2925 0.5000
Zn2 Zn 0.0000 0.5000 0.0000
Zn3 Zn 0.0008 0.5004 0.6506
Tc1 Tc 0.0000 0.0000 0.4077
```

Output
The calculation puts the magnetization at 0.00 μB per atom. The calculated volume is 903 Å³/cell. For the formation energy from the elements, the calculation gives -0.160 eV/atom.

[5]
This record from Alexandria via LeMat-Bulk describes NpCuS3 after structural relaxation. The functional is GGA-PBE.

CIF file:
```
data_NpCuS3
_cell_length_a 12.810
_cell_length_b 11.476
_cell_length_c 6.548
_cell_angle_alpha 90.00
_cell_angle_beta 109.65
_cell_angle_gamma 90.00
_symmetry_space_group_name_H-M 'C 1 2/c 1'
_symmetry_Int_Tables_number 15
loop_
_symmetry_equiv_pos_as_xyz
'x,y,z'
'-x,-y,-z'
'-x,y,-z+1/2'
'x,-y,z+1/2'
'x+1/2,y+1/2,z'
'-x+1/2,-y+1/2,-z'
'-x+1/2,y+1/2,-z+1/2'
'x+1/2,-y+1/2,z+1/2'
loop_
_atom_site_label
_atom_site_type_symbol
_atom_site_fract_x
_atom_site_fract_y
_atom_site_fract_z
Np1 Np 0.000 0.103 0.250
Np2 Np 0.000 0.396 0.750
Cu1 Cu 0.194 0.411 0.231
S1 S 0.108 0.249 0.060
S2 S 0.121 0.059 0.648
S3 S 0.122 0.436 0.505
```

Output
The calculation puts the magnetization at 0.01 μB per atom. As for the energy: -6.67 eV per atom. The calculated volume is 907 Å³/cell.

[6]
This record from Alexandria via LeMat-Bulk describes GaHg2As2 after structural relaxation. The functional is GGA-PBE.

CIF file:
```
data_GaHg2As2
_cell_length_a 8.409
_cell_length_b 8.409
_cell_length_c 3.275
_cell_angle_alpha 90.00
_cell_angle_beta 90.00
_cell_angle_gamma 90.00
_symmetry_space_group_name_H-M 'P 4/m b m'
_symmetry_Int_Tables_number 127
_symmetry_space_group_name_Hall '-P 4 2ab'
loop_
_atom_site_label
_atom_site_type_symbol
_atom_site_fract_x
_atom_site_fract_y
_atom_site_fract_z
Ga1 Ga 0.000 0.000 0.000
Hg1 Hg 0.146 0.354 0.000
As1 As 0.155 0.655 0.500
```

Output
The calculation puts the magnetization at 0.00 μB per atom. The calculated volume is 232 Å³/cell. The value obtained for the energy above the most stable polymorph in this dataset is 0.1350 eV per atom. For the formation energy from the elements, the calculation gives 0.340 eV/atom.

[7]
This record from Alexandria via LeMat-Bulk describes LiCa3Pt after structural relaxation. The functional is GGA-PBE.

CIF file:
```
data_LiCa3Pt
_cell_length_a 10.738
_cell_length_b 15.332
_cell_length_c 4.113
_cell_angle_alpha 90.00
_cell_angle_beta 90.00
_cell_angle_gamma 90.00
_symmetry_space_group_name_H-M 'C m m m'
_symmetry_Int_Tables_number 65
_symmetry_space_group_name_Hall '-C 2 2'
loop_
_atom_site_label
_atom_site_type_symbol
_atom_site_fract_x
_atom_site_fract_y
_atom_site_fract_z
Li1 Li 0.000 0.000 0.000
Li2 Li 0.000 0.500 0.500
Ca1 Ca 0.000 0.194 0.500
Ca2 Ca 0.199 0.372 0.000
Pt1 Pt 0.250 0.250 0.500
```

Output
The calculation puts the magnetization at 0.00 μB per atom. The calculated volume is 677 Å³/cell. The value obtained for the energy above the most stable polymorph in this dataset is 0.0689 eV per atom. For the formation energy from the elements, the calculation gives -0.390 eV/atom.

[8]
This record from Alexandria via LeMat-Bulk describes OsPbCl2 after structural relaxation. The functional is GGA-PBE.

CIF file:
```
data_OsPbCl2
_cell_length_a 16.410
_cell_length_b 3.167
_cell_length_c 3.655
_cell_angle_alpha 90.00
_cell_angle_beta 95.52
_cell_angle_gamma 90.00
_symmetry_space_group_name_H-M 'C 1 m 1'
_symmetry_Int_Tables_number 8
loop_
_symmetry_equiv_pos_as_xyz
'x,y,z'
'x,-y,z'
'x+1/2,y+1/2,z'
'x+1/2,-y+1/2,z'
loop_
_atom_site_label
_atom_site_type_symbol
_atom_site_fract_x
_atom_site_fract_y
_atom_site_fract_z
Os1 Os 0.000 0.000 0.000
Pb1 Pb 0.350 0.000 0.733
Cl1 Cl 0.039 0.500 0.514
Cl2 Cl 0.240 0.500 0.104
```

Output
The calculation puts the magnetization at 0.00 μB per atom. The calculated volume is 189 Å³/cell. The value obtained for the energy above the most stable polymorph in this dataset is 0.3697 eV per atom.

[9]
This record from Alexandria via LeMat-Bulk describes Ba6Au2I3Cl after structural relaxation. The functional is GGA-PBE.

CIF file:
```
data_Ba6Au2I3Cl
_cell_length_a 8.242
_cell_length_b 14.258
_cell_length_c 9.193
_cell_angle_alpha 90.00
_cell_angle_beta 107.18
_cell_angle_gamma 90.00
_symmetry_space_group_name_H-M 'C 1 2/m 1'
_symmetry_Int_Tables_number 12
loop_
_symmetry_equiv_pos_as_xyz
'x,y,z'
'-x,-y,-z'
'-x,y,-z'
'x,-y,z'
'x+1/2,y+1/2,z'
'-x+1/2,-y+1/2,-z'
'-x+1/2,y+1/2,-z'
'x+1/2,-y+1/2,z'
loop_
_atom_site_label
_atom_site_type_symbol
_atom_site_fract_x
_atom_site_fract_y
_atom_site_fract_z
Ba1 Ba 0.225 0.000 0.208
Ba2 Ba 0.242 0.328 0.210
Au1 Au 0.000 0.167 0.000
I1 I 0.000 0.000 0.500
I2 I 0.000 0.338 0.500
Cl1 Cl 0.000 0.500 0.000
```

Output
The calculation puts the magnetization at 0.00 μB per atom. As for the energy: -3.29 eV per atom. The calculated volume is 1032 Å³/cell.

[10]
This record from Alexandria via LeMat-Bulk describes NdErPuMg after structural relaxation. The functional is GGA-PBE.

CIF file:
```
data_NdErPuMg
_cell_length_a 7.775
_cell_length_b 7.775
_cell_length_c 7.775
_cell_angle_alpha 90.00
_cell_angle_beta 90.00
_cell_angle_gamma 90.00
_symmetry_space_group_name_H-M 'F -4 3 m'
_symmetry_Int_Tables_number 216
_symmetry_space_group_name_Hall 'F -4 2 3'
loop_
_atom_site_label
_atom_site_type_symbol
_atom_site_fract_x
_atom_site_fract_y
_atom_site_fract_z
Nd1 Nd 0.000 0.000 0.000
Er1 Er 0.000 0.000 0.500
Pu1 Pu 0.250 0.250 0.750
Mg1 Mg 0.250 0.250 0.250
```

Output
The calculation puts the magnetization at 1.56 μB per atom. The calculated volume is 470 Å³/cell. For the formation energy from the elements, the calculation gives 0.156 eV/atom.

[11]
This record from Alexandria via LeMat-Bulk describes CrAg3As after structural relaxation. The functional is GGA-PBE.

CIF file:
```
data_CrAg3As
_cell_length_a 4.944
_cell_length_b 4.944
_cell_length_c 4.944
_cell_angle_alpha 90.00
_cell_angle_beta 90.00
_cell_angle_gamma 90.00
_symmetry_space_group_name_H-M 'P m -3 m'
_symmetry_Int_Tables_number 221
_symmetry_space_group_name_Hall '-P 4 2 3'
loop_
_atom_site_label
_atom_site_type_symbol
_atom_site_fract_x
_atom_site_fract_y
_atom_site_fract_z
Cr1 Cr 0.000 0.000 0.000
Ag1 Ag 0.000 0.000 0.500
As1 As 0.500 0.500 0.500
```

Output
The calculation puts the magnetization at 0.92 μB per atom. The calculated volume is 121 Å³/cell. The value obtained for the energy above the most stable polymorph in this dataset is 0.4875 eV per atom. For the formation energy from the elements, the calculation gives 1.179 eV/atom.

[12]
This record from Alexandria via LeMat-Bulk describes Rb2FeB2 after structural relaxation. The functional is GGA-PBE.

CIF file:
```
data_Rb2FeB2
_cell_length_a 5.890
_cell_length_b 5.890
_cell_length_c 5.780
_cell_angle_alpha 90.00
_cell_angle_beta 90.00
_cell_angle_gamma 90.00
_symmetry_space_group_name_H-M 'P 4/m b m'
_symmetry_Int_Tables_number 127
_symmetry_space_group_name_Hall '-P 4 2ab'
loop_
_atom_site_label
_atom_site_type_symbol
_atom_site_fract_x
_atom_site_fract_y
_atom_site_fract_z
Rb1 Rb 0.177 0.323 0.000
Fe1 Fe 0.000 0.000 0.500
B1 B 0.238 0.738 0.500
```

Output
The calculation puts the magnetization at 0.16 μB per atom. The calculated volume is 201 Å³/cell. The value obtained for the energy above the most stable polymorph in this dataset is 0.0000 eV per atom. For the formation energy from the elements, the calculation gives 1.203 eV/atom.